Material: EuFeP
Method: DFT, PBE
State: relaxed

Cell: 3.996 3.996 4.198 Å, 90.00 90.00 120.00°
Atoms (fractional coordinates):
Eu: 0.000 0.000 0.000
Fe: 0.667 0.333 0.500
P: 0.333 0.667 0.500

Total energy in eV/atom: -8.72
Volume in A^3/atom: 19.4
Total magnetic moment in μB per atom: 1.472
Space group: P-6m2, No. 187
Formation energy in eV per atom: -0.669